Entry 1:
A plane-wave DFT calculation with PBE-GGA was carried out for crystalline Ac8Tl5Cd at its relaxed geometry.

The space group is I-4 (No. 82) and the conventional cell measures 10.198, 10.198 and 10.190 Å, with angles of 90.00, 90.00 and 90.00 degrees. Symmetry generates all atoms from Ac at (0.073, 0.176, 0.200), Ac at (0.074, 0.322, 0.554), Tl at (0.000, 0.000, 0.500), Tl at (0.125, 0.249, 0.877) and Cd at (0.000, 0.500, 0.250).

For the total energy, the calculation gives -3.507 eV per atom. The crystal system is tetragonal.

***

Entry 2:
A plane-wave DFT calculation with PBE-GGA was carried out for crystalline Ca2Al4GeAu3 at its relaxed geometry.

The space group is P-4m2 (No. 115) and the conventional cell measures 4.318, 4.318 and 11.007 Å, with angles of 90.00, 90.00 and 90.00 degrees. Symmetry generates all atoms from Ca at (0.000, 0.500, 0.248), Al at (0.000, 0.000, 0.500), Al at (0.000, 0.500, 0.863), Al at (0.500, 0.500, 0.500), Ge at (0.500, 0.500, 0.000), Au at (0.000, 0.000, 0.000) and Au at (0.000, 0.500, 0.634).

For the total energy, the calculation gives -3.909 eV per atom. The crystal system is tetragonal.

***

no.,D(E_F) (states/eV per cell)
1,34.03
2,4.38